# 1
A plane-wave DFT calculation with GGA-PBE was carried out for an optimized crystal structure of MgSc2InIr4.

POSCAR file:
```
MgSc2InIr4
1.0
-1.288 -4.205 1.086
2.062 -1.589 -3.707
5.413 -0.793 3.350
In Ir Mg Sc
1 4 1 2
Direct
0.000 0.000 0.500
0.500 0.000 0.245
0.000 0.500 0.245
0.500 0.000 0.755
0.000 0.500 0.755
0.500 0.500 0.000
0.000 0.000 0.000
0.500 0.500 0.500
```

Summary:
Space-group type ... P4/mmm
Final energy ... -7.219 eV per atom



# 2
A plane-wave DFT calculation with GGA-PBE was carried out for an optimized crystal structure of AlCdFe.

POSCAR file:
```
AlCdFe
1.0
1.293 -4.007 -0.507
-2.523 -2.816 -1.920
0.983 -1.438 -3.866
Al Cd Fe
1 1 1
Direct
0.250 0.250 0.250
0.000 0.000 0.000
0.750 0.750 0.750
```

Summary:
Space-group type ... F-43m
Final energy ... -3.647 eV per atom



# 3
A plane-wave DFT calculation with GGA-PBE was carried out for an optimized crystal structure of ScGaFe.

POSCAR file:
```
ScGaFe
1.0
2.199 -1.120 3.634
0.413 2.879 3.292
-2.165 -0.646 3.767
Fe Ga Sc
1 1 1
Direct
0.250 0.250 0.250
0.750 0.750 0.750
0.000 0.000 0.000
```

Summary:
Space-group type ... F-43m
Final energy ... -5.329 eV per atom